! Ca2OsRh, optimized geometry, DFT PBE-GGA; values from VASP
&SYSTEM
  ibrav = 0, nat = 4, ntyp = 3
/
ATOMIC_SPECIES
Ca 40.08 Ca.upf
Os 190.23 Os.upf
Rh 102.91 Rh.upf
CELL_PARAMETERS angstrom
-2.1769 2.1769 4.1960
2.1769 -2.1769 4.1960
2.1769 2.1769 -4.1960
ATOMIC_POSITIONS crystal
Ca 0.2500 0.7500 0.5000
Ca 0.7500 0.2500 0.5000
Os 0.0000 0.0000 0.0000
Rh 0.5000 0.5000 0.0000
! E above lowest polymorph = 311 meV/atom
! ΔH_f (0 K) = 1.5 eV per formula unit
! E_tot = -21.06 eV/f.u.


! Ca2OsRh, optimized geometry, DFT PBE-GGA; values from VASP
&SYSTEM
  ibrav = 0, nat = 8, ntyp = 3
/
ATOMIC_SPECIES
Ca 40.08 Ca.upf
Os 190.23 Os.upf
Rh 102.91 Rh.upf
CELL_PARAMETERS angstrom
-3.9241 3.9241 2.7220
3.9241 -3.9241 2.7220
3.9241 3.9241 -2.7220
ATOMIC_POSITIONS crystal
Ca 0.1089 0.6250 0.9839
Ca 0.3750 0.3589 0.4839
Ca 0.6411 0.1250 0.0161
Ca 0.8750 0.8911 0.5161
Os 0.2500 0.7500 0.5000
Os 0.5000 0.5000 0.0000
Rh 0.0000 0.0000 0.0000
Rh 0.7500 0.2500 0.5000
! E above lowest polymorph = 575 meV/atom
! ΔH_f (0 K) = 2.6 eV per formula unit
! E_tot = -20.01 eV/f.u.


! CaOsRh2, optimized geometry, DFT PBE-GGA; values from VASP
&SYSTEM
  ibrav = 0, nat = 4, ntyp = 3
/
ATOMIC_SPECIES
Ca 40.08 Ca.upf
Os 190.23 Os.upf
Rh 102.91 Rh.upf
CELL_PARAMETERS angstrom
2.8746 0.0000 0.0000
0.0000 2.8746 0.0000
0.0000 0.0000 8.0502
ATOMIC_POSITIONS crystal
Ca 0.0000 0.0000 0.0000
Os 0.0000 0.0000 0.5000
Rh 0.5000 0.5000 0.2854
Rh 0.5000 0.5000 0.7146
! E above lowest polymorph = 0 meV/atom
! ΔH_f (0 K) = 0.2 eV per formula unit
! E_tot = -27.74 eV/f.u.


! CaOsRh, optimized geometry, DFT PBE-GGA; values from VASP
&SYSTEM
  ibrav = 0, nat = 3, ntyp = 3
/
ATOMIC_SPECIES
Ca 40.08 Ca.upf
Os 190.23 Os.upf
Rh 102.91 Rh.upf
CELL_PARAMETERS angstrom
0.0000 3.1520 3.1520
3.1520 0.0000 3.1520
3.1520 3.1520 0.0000
ATOMIC_POSITIONS crystal
Ca 0.0000 0.0000 0.0000
Os 0.2500 0.2500 0.2500
Rh 0.7500 0.7500 0.7500
! E above lowest polymorph = 1447 meV/atom
! ΔH_f (0 K) = 4.8 eV per formula unit
! E_tot = -15.83 eV/f.u.